Entry 1:
Below is BaLa3H at its PBEsol-relaxed geometry, with properties calculated at the SCAN level.

Values from the calculation:
The total moment comes out at 0.000 μB per atom. The value obtained for the electronic total energy is -165.79 eV/cell.

Cell lengths 5.922, 5.922, 5.922 Å; angles 90.00, 90.00, 90.00 degrees
Fractional coordinates of all 5 atoms:
1 Ba 0.000 0.000 0.000
2 La 0.000 0.500 0.000
3 La 0.000 0.000 0.500
4 La 0.500 0.000 0.000
5 H 0.500 0.500 0.500

***

Entry 2:
Below is CdSbBr2 at its PBEsol-relaxed geometry, with properties calculated at the SCAN level.

Values from the calculation:
The total moment comes out at 0.000 μB per atom. The value obtained for the electronic total energy is -107.55 eV/cell.

Cell lengths 3.829, 3.829, 9.064 Å; angles 77.81, 77.81, 60.00 degrees
Fractional coordinates of all 4 atoms:
1 Br 0.988 0.988 0.036
2 Cd 0.499 0.499 0.503
3 Br 0.769 0.769 0.694
4 Sb 0.244 0.244 0.267

***

Entry 3:
Below is Ni2MoW at its PBEsol-relaxed geometry, with properties calculated at the SCAN level.

Values from the calculation:
The total moment comes out at 0.000 μB per atom. The value obtained for the electronic total energy is -136.44 eV/cell.

Cell lengths 3.110, 3.110, 5.382 Å; angles 90.00, 90.00, 90.00 degrees
Fractional coordinates of all 4 atoms:
1 W 0.000 0.000 0.481
2 Ni 0.500 0.500 0.239
3 Mo 0.500 0.500 0.769
4 Ni 0.000 0.000 0.012

***

Entry 4:
Below is SrMnGe3 at its PBEsol-relaxed geometry, with properties calculated at the SCAN level.

Values from the calculation:
The total moment comes out at 0.475 μB per atom. The value obtained for the electronic total energy is -98.83 eV/cell.

Cell lengths 4.663, 4.663, 4.663 Å; angles 90.00, 90.00, 90.00 degrees
Fractional coordinates of all 5 atoms:
1 Ge 0.000 0.500 0.000
2 Mn 0.000 0.000 0.000
3 Sr 0.500 0.500 0.500
4 Ge 0.500 0.000 0.000
5 Ge 0.000 0.000 0.500

***

Entry 5:
Below is CaHgPb2 at its PBEsol-relaxed geometry, with properties calculated at the SCAN level.

Values from the calculation:
The total moment comes out at 0.000 μB per atom. The value obtained for the electronic total energy is -231.03 eV/cell.

Cell lengths 4.694, 4.694, 5.877 Å; angles 113.54, 113.54, 90.00 degrees
Fractional coordinates of all 4 atoms:
1 Hg 0.250 0.750 0.500
2 Pb 0.000 0.000 0.000
3 Pb 0.750 0.250 0.500
4 Ca 0.500 0.500 0.000

***

Entry 6:
Below is ZnSi2Tc at its PBEsol-relaxed geometry, with properties calculated at the SCAN level.

Values from the calculation:
The total moment comes out at 0.000 μB per atom. The value obtained for the electronic total energy is -68.98 eV/cell.

Cell lengths 3.154, 3.154, 5.299 Å; angles 90.00, 90.00, 90.00 degrees
Fractional coordinates of all 4 atoms:
1 Si 0.000 0.000 0.750
2 Si 0.000 0.000 0.250
3 Zn 0.500 0.500 0.500
4 Tc 0.500 0.500 0.000